Below is crystalline Ba2ThTa3O12 at its relaxed geometry, with properties calculated at the PBE-GGA level.

The space group is R-3m (No. 166, hexagonal axes) and the conventional cell measures 7.6171, 7.6171 and 17.0030 Å, with angles of 90.00, 90.00 and 120.00 degrees. The distinct sites, in fractional coordinates, are Ba at (0.0000, 0.0000, 0.1247), Th at (0.0000, 0.0000, 0.5000), Ta at (0.0000, 0.5000, 0.0000), O at (0.0092, 0.5046, 0.8830) and O at (0.0858, 0.5429, 0.3243).

The total energy is -8.819 eV/atom. Its calculated density is 7.24 g/cm³. As for the formation energy from raw total energies: -2912.5 meV/atom.